Arrangement P

MnCoS2Cl: relaxed, GGA-PBE.

a b c (Å): 4.3239 4.3239 4.9279
angles (deg): 90.00 90.00 90.00
Site moments in Bohr magnetons follow the coordinates.
Fractional coordinates of all 5 atoms:
S 0.0000 0.5000 0.0000  0.09
S 0.5000 0.0000 0.0000  0.09
Cl 0.0000 0.0000 0.5000  0.03
Mn 0.0000 0.0000 0.0000  0.26
Co 0.5000 0.5000 0.5000  2.19

Arrangement Q

MnCoS2Cl: relaxed, GGA-PBE.

a b c (Å): 4.4108 4.4108 4.5284
angles (deg): 90.00 90.00 90.00
Site moments in Bohr magnetons follow the coordinates.
Fractional coordinates of all 5 atoms:
Mn 0.5000 0.5000 0.5000  0.16
Co 0.0000 0.0000 0.0000  0.67
S 0.5000 0.0000 0.0000  0.08
S 0.0000 0.5000 0.0000  0.08
Cl 0.0000 0.0000 0.5000  0.06

Short version: arrangement P, arrangement Q, most stable first.

Arrangement P

MnCoSCl2: relaxed, GGA-PBE.

a b c (Å): 4.6633 4.6633 4.9190
angles (deg): 90.00 90.00 90.00
Site moments in Bohr magnetons follow the coordinates.
Fractional coordinates of all 5 atoms:
S 0.0000 0.0000 0.5000  0.07
Mn 0.0000 0.0000 0.0000  3.89
Cl 0.5000 0.0000 0.0000  0.06
Co 0.5000 0.5000 0.5000  2.30
Cl 0.0000 0.5000 0.0000  0.06

Arrangement Q

MnCoSCl2: relaxed, GGA-PBE.

a b c (Å): 4.5567 4.5567 4.5674
angles (deg): 90.00 90.00 90.00
Site moments in Bohr magnetons follow the coordinates.
Fractional coordinates of all 5 atoms:
Mn 0.5000 0.5000 0.5000  4.55
Cl 0.0000 0.5000 0.0000  0.03
Co 0.0000 0.0000 0.0000  -0.92
Cl 0.5000 0.0000 0.0000  0.03
S 0.0000 0.0000 0.5000  -0.06

Short version: arrangement Q, arrangement P, most stable first.

Arrangement P

CoMo3Cl: relaxed, GGA-PBE.

a b c (Å): 4.3652 4.3652 4.3652
angles (deg): 90.00 90.00 90.00
Site moments in Bohr magnetons follow the coordinates.
Fractional coordinates of all 5 atoms:
Co 0.5000 0.5000 0.5000  1.97
Mo 0.5000 0.0000 0.0000  0.07
Cl 0.0000 0.0000 0.0000  0.00
Mo 0.0000 0.0000 0.5000  0.12
Mo 0.0000 0.5000 0.0000  0.05

Arrangement Q

CoMo3Cl: relaxed, GGA-PBE.

a b c (Å): 4.5294 4.5294 4.5294
angles (deg): 90.00 90.00 90.00
Fractional coordinates of all 5 atoms:
Mo 0.0000 0.5000 0.0000
Mo 0.5000 0.0000 0.0000
Mo 0.0000 0.0000 0.5000
Co 0.0000 0.0000 0.0000
Cl 0.5000 0.5000 0.5000

Short version: arrangement P, arrangement Q, most stable first.

Arrangement P

CoMoCl: relaxed, GGA-PBE.

a b c (Å): 6.2484 6.2484 6.2484
angles (deg): 153.56 153.56 37.74
Site moments in Bohr magnetons follow the coordinates.
Fractional coordinates of all 3 atoms:
Cl 0.0268 0.0268 0.0000  -0.01
Co 0.3000 0.3000 0.0000  0.65
Mo 0.6733 0.6733 0.0000  -0.07

Arrangement Q

CoMoCl: relaxed, GGA-PBE.

a b c (Å): 4.0827 4.0827 4.0827
angles (deg): 60.00 60.00 60.00
Fractional coordinates of all 3 atoms:
Mo 0.7500 0.7500 0.7500
Cl 0.0000 0.0000 0.0000
Co 0.5000 0.5000 0.5000

Short version: arrangement P, arrangement Q, most stable first.